1.
Computed, not measured: an optimized crystal structure of La3GaSe2 at the PBE-GGA level of DFT.

Output
E_tot	-5.650	eV/atom
size of the total moment	0.00	μB/f.u.
ΔE_f (raw)	-1.52	eV/atom

a b c (Å): 4.282 6.166 13.377
angles (deg): 90.00 90.00 90.00
Fractional positions:
La 0.000 0.000 0.000
La 0.000 0.000 0.331
La 0.000 0.000 0.669
La 0.500 0.500 0.169
La 0.500 0.500 0.500
La 0.500 0.500 0.831
Ga 0.000 0.500 0.000
Ga 0.500 0.000 0.500
Se 0.000 0.500 0.334
Se 0.000 0.500 0.666
Se 0.500 0.000 0.166
Se 0.500 0.000 0.834

=====

2.
Computed, not measured: an optimized crystal structure of LaGaSe2 at the PBE-GGA level of DFT.

Output
E_tot	-5.076	eV/atom
size of the total moment	0.00	μB/f.u.
ΔE_f (raw)	-1.35	eV/atom

a b c (Å): 5.962 6.008 6.077
angles (deg): 103.44 104.07 97.72
Fractional positions:
La 0.181 0.185 0.354
La 0.819 0.815 0.646
Ga 0.262 0.686 0.002
Ga 0.738 0.314 0.998
Se 0.274 0.242 0.898
Se 0.275 0.715 0.481
Se 0.725 0.285 0.519
Se 0.726 0.758 0.102

=====

3.
Computed, not measured: an optimized crystal structure of LaGaSe2 at the PBE-GGA level of DFT.

Output
E_tot	-5.123	eV/atom
size of the total moment	0.00	μB/f.u.
ΔE_f (raw)	-1.39	eV/atom

a b c (Å): 5.952 4.383 8.276
angles (deg): 90.00 110.19 90.00
Fractional positions:
La 0.150 0.250 0.297
La 0.850 0.750 0.703
Ga 0.282 0.250 0.817
Ga 0.718 0.750 0.183
Se 0.267 0.750 0.071
Se 0.289 0.750 0.576
Se 0.711 0.250 0.424
Se 0.733 0.250 0.929

=====

4.
Computed, not measured: an optimized crystal structure of La2GaSe5 at the PBE-GGA level of DFT.

Output
E_tot	-4.967	eV/atom
size of the total moment	0.00	μB/f.u.
ΔE_f (raw)	-1.18	eV/atom

a b c (Å): 10.622 7.303 7.361
angles (deg): 90.00 130.84 90.00
Fractional positions:
La 0.000 0.000 0.000
La 0.001 0.500 0.584
La 0.500 0.500 0.000
La 0.501 0.000 0.584
Ga 0.192 0.500 0.211
Ga 0.692 0.000 0.211
Se 0.251 0.271 0.516
Se 0.251 0.729 0.516
Se 0.267 0.258 0.053
Se 0.267 0.742 0.053
Se 0.392 0.000 0.883
Se 0.751 0.229 0.516
Se 0.751 0.771 0.516
Se 0.767 0.242 0.053
Se 0.767 0.758 0.053
Se 0.892 0.500 0.883